[1]
VASP calculation (PBE) on a geometry-optimized Tm2CuAu structure.

```
Tm2CuAu
1.0
4.9446 0.0000 0.0000
2.4723 4.2822 0.0000
2.4723 1.4274 4.0373
Tm Cu Au
2 1 1
direct
0.2500 0.2500 0.2500
0.7500 0.7500 0.7500
0.5000 0.5000 0.5000
0.0000 0.0000 0.0000
```

Properties
electronic total energy: -4.66 eV per atom
theoretical density: 11.624 g/cm3
DFT formation energy: -224 kJ/mol of formula units
energy above the most stable polymorph in this dataset: 6.1 meV/atom

---

[2]
VASP calculation (PBE) on a geometry-optimized BPtCl3 structure.

```
BPtCl3
1.0
-1.8790 2.0487 -3.3832
-3.4715 0.9406 2.4976
1.8953 3.7540 1.2206
B Pt Cl
1 1 3
direct
0.0000 0.0000 0.0000
0.5000 0.5000 0.5000
0.0000 0.5000 0.0000
0.0000 0.0000 0.5000
0.5000 0.0000 0.0000
```

Properties
electronic total energy: -2.79 eV per atom
theoretical density: 6.176 g/cm3
energy relative to the elements, uncorrected: 866 meV per atom
energy above the most stable polymorph in this dataset: 124.2 meV/atom

---

[3]
VASP calculation (PBE) on a geometry-optimized NdTc4Ge8 structure.

```
NdTc4Ge8
1.0
6.0121 0.0000 0.0000
3.0060 5.2066 0.0000
3.0060 1.7355 8.7841
Ge Tc Nd
8 4 1
direct
0.7453 0.2360 0.7826
0.2360 0.2360 0.7826
0.2547 0.7640 0.2174
0.7418 0.7418 0.7746
0.2360 0.7453 0.7826
0.7640 0.2547 0.2174
0.7640 0.7640 0.2174
0.2582 0.2582 0.2254
0.5000 0.0000 0.0000
0.0000 0.5000 0.0000
0.5000 0.5000 0.0000
0.0000 0.0000 0.0000
0.5000 0.5000 0.5000
```

Properties
electronic total energy: -6.39 eV per atom
theoretical density: 6.748 g/cm3
DFT formation energy: 14 kJ/mol of formula units

---

[4]
VASP calculation (PBE) on a geometry-optimized HfZr4 structure.

```
HfZr4
1.0
5.5000 1.6569 0.0000
0.8573 5.0501 0.0000
0.0000 0.0000 9.0661
Zr Hf
8 2
direct
0.2228 0.3906 0.0967
0.2228 0.8906 0.9033
0.8034 0.5979 0.3104
0.7772 0.1094 0.0967
0.1966 0.4021 0.6896
0.7772 0.6094 0.9033
0.1966 0.9021 0.3104
0.8034 0.0979 0.6896
0.5000 0.2500 0.4017
0.5000 0.7500 0.5983
```

Properties
electronic total energy: -8.65 eV per atom
theoretical density: 7.553 g/cm3
DFT formation energy: 89 kJ/mol of formula units
energy above the most stable polymorph in this dataset: 153.5 meV/atom

---

- Which formula does entry 3 have?
  NdTc4Ge8

---

- The lowest theoretical density belongs to which entry?
  BPtCl3

---

- Which of these has the lowest electronic total energy?
  HfZr4